A geometry-optimized Li5NiOF5 structure, computed with PBE+U.

Properties
The relative energy among the computed polymorphs is 0 meV/atom. As for the total energy: -57.71 eV/cell.

Geometry as CIF:
```
data_Li5NiOF5
_cell_length_a 2.9056
_cell_length_b 2.9056
_cell_length_c 12.4025
_cell_angle_alpha 90.00
_cell_angle_beta 90.00
_cell_angle_gamma 90.00
_symmetry_space_group_name_H-M 'P 4/m m m'
_symmetry_Int_Tables_number 123
_symmetry_space_group_name_Hall '-P 4 2'
loop_
_atom_site_label
_atom_site_fract_x
_atom_site_fract_y
_atom_site_fract_z
Li1 0.0000 0.0000 0.0000
Li2 0.0000 0.0000 0.3308
Li3 0.5000 0.5000 0.1626
Ni1 0.5000 0.5000 0.5000
O1 0.0000 0.0000 0.5000
F1 0.0000 0.0000 0.1636
F2 0.5000 0.5000 0.0000
F3 0.5000 0.5000 0.3253
```